# 1
The following is a DFT calculation (PBE) of NdSmGd after structural relaxation.

Structure (POSCAR):
```
NdSmGd
1.0
7.818 0.000 0.000
0.000 7.818 0.000
0.000 0.000 7.818
Nd Sm Gd
4 4 4
Direct
0.000 0.000 0.000
0.000 0.500 0.500
0.500 0.000 0.500
0.500 0.500 0.000
0.250 0.250 0.750
0.250 0.750 0.250
0.750 0.250 0.250
0.750 0.750 0.750
0.000 0.000 0.500
0.000 0.500 0.000
0.500 0.000 0.000
0.500 0.500 0.500
```

Summary:
* space-group type: F-43m, No. 216
* energy relative to the elements: 0.717 eV/atom

=====

# 2
The following is a DFT calculation (PBE) of Nd2SmGdTl2 after structural relaxation.

Structure (POSCAR):
```
Nd2SmGdTl2
1.0
5.518 0.000 0.000
-2.759 4.778 0.000
0.000 0.000 6.874
Nd Sm Gd Tl
2 1 1 2
Direct
0.333 0.667 0.250
0.667 0.333 0.750
0.000 0.000 0.000
0.000 0.000 0.500
0.333 0.667 0.750
0.667 0.333 0.250
```

Summary:
* space-group type: P-3m1, No. 164
* total energy: -4.2025 eV/atom

=====

# 3
The following is a DFT calculation (PBE) of NdGd2Sn7 after structural relaxation.

Structure (POSCAR):
```
NdGd2Sn7
1.0
2.225 -13.420 0.000
2.225 13.420 0.000
0.000 0.000 4.495
Nd Gd Sn
1 2 7
Direct
0.000 0.000 0.000
0.312 0.688 0.500
0.688 0.312 0.500
0.097 0.903 0.500
0.212 0.788 0.000
0.403 0.597 0.000
0.500 0.500 0.500
0.597 0.403 0.000
0.788 0.212 0.000
0.903 0.097 0.500
```

Summary:
* space-group type: Cmmm, No. 65
* total energy: -4.7838 eV/atom

=====

# 4
The following is a DFT calculation (PBE) of Nd2GdSn7 after structural relaxation.

Structure (POSCAR):
```
Nd2GdSn7
1.0
2.225 -13.513 0.000
2.225 13.513 0.000
0.000 0.000 4.515
Nd Gd Sn
2 1 7
Direct
0.188 0.812 0.000
0.812 0.188 0.000
0.500 0.500 0.500
0.000 0.000 0.000
0.095 0.905 0.500
0.287 0.713 0.500
0.405 0.595 0.000
0.595 0.405 0.000
0.713 0.287 0.500
0.905 0.095 0.500
```

Summary:
* space-group type: Cmmm, No. 65
* total energy: -4.8087 eV/atom

=====

# 5
The following is a DFT calculation (PBE) of NdGdZn2Sn2 after structural relaxation.

Structure (POSCAR):
```
NdGdZn2Sn2
1.0
4.547 0.000 0.000
-2.274 3.938 0.000
0.000 0.000 16.237
Nd Gd Zn Sn
2 2 4 4
Direct
0.000 0.000 0.000
0.000 0.000 0.500
0.000 0.000 0.250
0.000 0.000 0.750
0.333 0.667 0.160
0.333 0.667 0.340
0.667 0.333 0.660
0.667 0.333 0.840
0.333 0.667 0.617
0.333 0.667 0.883
0.667 0.333 0.117
0.667 0.333 0.383
```

Summary:
* space-group type: P6_3/mmc, No. 194
* energy above the lowest structure with this stoichiometry: 0.0000 eV/atom

=====

# 6
The following is a DFT calculation (PBE) of NdGdTc after structural relaxation.

Structure (POSCAR):
```
NdGdTc
1.0
6.820 0.000 0.000
0.000 6.820 0.000
0.000 0.000 6.820
Nd Gd Tc
4 4 4
Direct
0.000 0.000 0.000
0.000 0.500 0.500
0.500 0.000 0.500
0.500 0.500 0.000
0.250 0.250 0.250
0.250 0.750 0.750
0.750 0.250 0.750
0.750 0.750 0.250
0.000 0.000 0.500
0.000 0.500 0.000
0.500 0.000 0.000
0.500 0.500 0.500
```

Summary:
* space-group type: F-43m, No. 216
* energy relative to the elements: 0.924 eV/atom
* energy above the lowest structure with this stoichiometry: 0.0000 eV/atom

=====

# 7
The following is a DFT calculation (PBE) of Nd2GdTe3 after structural relaxation.

Structure (POSCAR):
```
Nd2GdTe3
1.0
4.451 0.000 0.000
-2.226 3.855 0.000
0.000 0.000 10.968
Nd Gd Te
2 1 3
Direct
0.333 0.667 0.170
0.667 0.333 0.830
0.000 0.000 0.500
0.000 0.000 0.000
0.333 0.667 0.659
0.667 0.333 0.341
```

Summary:
* space-group type: P-3m1, No. 164
* total energy: -5.3316 eV/atom

=====

# 8
The following is a DFT calculation (PBE) of Nd3GdTl2 after structural relaxation.

Structure (POSCAR):
```
Nd3GdTl2
1.0
5.533 0.000 0.000
-2.767 4.792 0.000
0.000 0.000 6.875
Nd Gd Tl
3 1 2
Direct
0.000 0.000 0.000
0.667 0.333 0.259
0.667 0.333 0.741
0.333 0.667 0.500
0.000 0.000 0.500
0.333 0.667 0.000
```

Summary:
* space-group type: P-6m2, No. 187
* total energy: -4.2149 eV/atom

=====

# 9
The following is a DFT calculation (PBE) of NdGdTm after structural relaxation.

Structure (POSCAR):
```
NdGdTm
1.0
7.710 0.000 0.000
0.000 7.710 0.000
0.000 0.000 7.710
Nd Gd Tm
4 4 4
Direct
0.000 0.000 0.000
0.000 0.500 0.500
0.500 0.000 0.500
0.500 0.500 0.000
0.000 0.000 0.500
0.000 0.500 0.000
0.500 0.000 0.000
0.500 0.500 0.500
0.250 0.250 0.750
0.250 0.750 0.250
0.750 0.250 0.250
0.750 0.750 0.750
```

Summary:
* space-group type: F-43m, No. 216
* energy relative to the elements: 0.698 eV/atom

=====

# 10
The following is a DFT calculation (PBE) of NdGdZn6 after structural relaxation.

Structure (POSCAR):
```
NdGdZn6
1.0
4.740 0.000 0.000
0.000 6.690 0.000
0.000 0.000 4.741
Nd Gd Zn
1 1 6
Direct
0.000 0.000 0.000
0.500 0.500 0.495
0.000 0.256 0.501
0.000 0.500 0.999
0.000 0.744 0.501
0.500 0.000 0.497
0.500 0.256 0.994
0.500 0.744 0.994
```

Summary:
* space-group type: Pmm2, No. 25
* energy relative to the elements: -0.286 eV/atom

=====

# 11
The following is a DFT calculation (PBE) of NdGdZn4 after structural relaxation.

Structure (POSCAR):
```
NdGdZn4
1.0
4.537 0.000 0.000
0.000 7.242 0.000
0.000 0.000 7.606
Nd Gd Zn
2 2 8
Direct
0.000 0.000 0.000
0.500 0.500 0.500
0.000 0.500 0.060
0.500 0.000 0.560
0.000 0.204 0.367
0.000 0.295 0.698
0.000 0.705 0.698
0.000 0.796 0.367
0.500 0.205 0.198
0.500 0.296 0.867
0.500 0.704 0.867
0.500 0.795 0.198
```

Summary:
* space-group type: Imm2, No. 44
* energy relative to the elements: -0.374 eV/atom

=====

# 12
The following is a DFT calculation (PBE) of NdGdZn6 after structural relaxation.

Structure (POSCAR):
```
NdGdZn6
1.0
4.740 0.000 0.000
0.000 4.740 0.000
0.000 0.000 6.691
Nd Gd Zn
1 1 6
Direct
0.000 0.000 0.000
0.500 0.500 0.500
0.000 0.000 0.500
0.000 0.500 0.256
0.000 0.500 0.744
0.500 0.000 0.256
0.500 0.000 0.744
0.500 0.500 0.000
```

Summary:
* space-group type: P4/mmm, No. 123
* energy relative to the elements: -0.287 eV/atom

=====

# 13
The following is a DFT calculation (PBE) of NdGdZn2 after structural relaxation.

Structure (POSCAR):
```
NdGdZn2
1.0
3.614 0.000 0.000
0.000 5.152 0.000
0.000 0.000 5.152
Nd Gd Zn
1 1 2
Direct
0.000 0.000 0.000
0.000 0.500 0.503
0.500 0.000 0.499
0.500 0.500 0.004
```

Summary:
* space-group type: Pmm2, No. 25
* energy relative to the elements: -0.325 eV/atom

=====

# 14
The following is a DFT calculation (PBE) of GdNi after structural relaxation.

Structure (POSCAR):
```
GdNi
1.0
3.783 0.000 0.000
-1.891 3.276 0.000
0.000 0.000 3.590
Gd Ni
1 1
Direct
0.000 0.000 0.000
0.667 0.333 0.500
```

Summary:
* space-group type: P-6m2, No. 187
* energy relative to the elements: -0.130 eV/atom

=====

# 15
The following is a DFT calculation (PBE) of Gd3Ni2 after structural relaxation.

Structure (POSCAR):
```
Gd3Ni2
1.0
6.688 -1.854 0.000
6.688 1.854 0.000
-2.698 0.000 9.213
Gd Ni
6 4
Direct
0.097 0.097 0.173
0.356 0.356 0.130
0.368 0.368 0.502
0.632 0.632 0.498
0.644 0.644 0.870
0.903 0.903 0.827
0.036 0.036 0.643
0.242 0.242 0.727
0.758 0.758 0.273
0.964 0.964 0.357
```

Summary:
* space-group type: C2/m, No. 12
* energy relative to the elements: -0.342 eV/atom

=====

# 16
The following is a DFT calculation (PBE) of Gd2Ni3 after structural relaxation.

Structure (POSCAR):
```
Gd2Ni3
1.0
3.234 1.867 5.572
-3.234 1.867 5.572
0.000 -3.735 5.572
Gd Ni
4 6
Direct
0.104 0.104 0.104
0.396 0.396 0.396
0.604 0.604 0.604
0.896 0.896 0.896
0.039 0.250 0.461
0.250 0.461 0.039
0.461 0.039 0.250
0.539 0.961 0.750
0.750 0.539 0.961
0.961 0.750 0.539
```

Summary:
* space-group type: R-3c, No. 167
* energy relative to the elements: 0.071 eV/atom

=====

# 17
The following is a DFT calculation (PBE) of GdNi after structural relaxation.

Structure (POSCAR):
```
GdNi
1.0
3.774 0.000 0.000
-1.887 3.268 0.000
0.000 0.000 10.243
Gd Ni
3 3
Direct
0.000 0.000 0.000
0.333 0.667 0.667
0.667 0.333 0.333
0.000 0.000 0.500
0.333 0.667 0.167
0.667 0.333 0.833
```

Summary:
* space-group type: R-3m, No. 166
* energy relative to the elements: -0.202 eV/atom

=====

# 18
The following is a DFT calculation (PBE) of GdNi after structural relaxation.

Structure (POSCAR):
```
GdNi
1.0
5.580 0.000 0.000
0.000 5.580 0.000
0.000 0.000 5.580
Gd Ni
4 4
Direct
0.000 0.000 0.000
0.000 0.500 0.500
0.500 0.000 0.500
0.500 0.500 0.000
0.000 0.000 0.500
0.000 0.500 0.000
0.500 0.000 0.000
0.500 0.500 0.500
```

Summary:
* space-group type: Fm-3m, No. 225
* energy relative to the elements: -0.218 eV/atom

=====

# 19
The following is a DFT calculation (PBE) of Gd2Ni after structural relaxation.

Structure (POSCAR):
```
Gd2Ni
1.0
0.000 4.244 4.244
4.244 0.000 4.244
4.244 4.244 0.000
Gd Ni
4 2
Direct
0.000 0.000 0.000
0.000 0.000 0.500
0.000 0.500 0.000
0.500 0.000 0.000
0.375 0.375 0.375
0.625 0.625 0.625
```

Summary:
* space-group type: Fd-3m, No. 227
* energy relative to the elements: 0.889 eV/atom

=====

# 20
The following is a DFT calculation (PBE) of Gd2Ni after structural relaxation.

Structure (POSCAR):
```
Gd2Ni
1.0
7.923 0.000 0.000
-3.962 6.862 0.000
0.000 0.000 3.875
Gd Ni
6 3
Direct
0.000 0.248 0.000
0.000 0.583 0.500
0.248 0.000 0.000
0.417 0.417 0.500
0.583 0.000 0.500
0.752 0.752 0.000
0.000 0.000 0.500
0.333 0.667 0.000
0.667 0.333 0.000
```

Summary:
* space-group type: P-62m, No. 189
* energy relative to the elements: -0.151 eV/atom

=====

| no. | total magnetic moment (μB/cell) |
| --- | --- |
| 1 | 0.2 |
| 2 | 1.5 |
| 3 | 0.0 |
| 4 | 0.0 |
| 5 | 0.0 |
| 6 | 1.5 |
| 7 | 0.0 |
| 8 | 1.7 |
| 9 | 0.0 |
| 10 | 0.0 |
| 11 | 0.0 |
| 12 | 0.0 |
| 13 | 0.0 |
| 14 | 0.0 |
| 15 | 0.4 |
| 16 | 0.0 |
| 17 | 0.0 |
| 18 | 0.0 |
| 19 | 0.0 |
| 20 | 0.9 |